# 1
# PBEsol Zn2SnSbBr, optimized geometry
data_Zn2SnSbBr
_symmetry_space_group_name_H-M 'P 4/m m m'
_symmetry_Int_Tables_number 123
_symmetry_space_group_name_Hall '-P 4 2'
_cell_length_a 5.0805
_cell_length_b 5.0805
_cell_length_c 5.7683
_cell_angle_alpha 90.00
_cell_angle_beta 90.00
_cell_angle_gamma 90.00
loop_
_atom_site_label
_atom_site_fract_x
_atom_site_fract_y
_atom_site_fract_z
Zn1 0.0000 0.5000 0.0000
Sn1 0.0000 0.0000 0.0000
Sb1 0.0000 0.0000 0.5000
Br1 0.5000 0.5000 0.5000
# DOS(E_F): 0.664 states/eV per atom
# Spin magnetization: 0.0 μB per formula unit
# Total energy: -2.34 eV per atom
# Crystal system: tetragonal

***

# 2
# PBEsol LaSnBr3, optimized geometry
data_LaSnBr3
_symmetry_space_group_name_H-M 'P m -3 m'
_symmetry_Int_Tables_number 221
_symmetry_space_group_name_Hall '-P 4 2 3'
_cell_length_a 5.7835
_cell_length_b 5.7835
_cell_length_c 5.7835
_cell_angle_alpha 90.00
_cell_angle_beta 90.00
_cell_angle_gamma 90.00
loop_
_atom_site_label
_atom_site_fract_x
_atom_site_fract_y
_atom_site_fract_z
La1 0.0000 0.0000 0.0000
Sn1 0.5000 0.5000 0.5000
Br1 0.0000 0.0000 0.5000
# DOS(E_F): 0.928 states/eV per atom
# Spin magnetization: 2.0 μB per formula unit
# Total energy: -3.93 eV per atom
# Crystal system: cubic

***

# 3
# PBEsol La2MgCd, optimized geometry
data_La2MgCd
_symmetry_space_group_name_H-M 'P m m m'
_symmetry_Int_Tables_number 47
_cell_length_a 3.4874
_cell_length_b 4.6708
_cell_length_c 7.0176
_cell_angle_alpha 90.00
_cell_angle_beta 90.00
_cell_angle_gamma 90.00
loop_
_symmetry_equiv_pos_as_xyz
'x,y,z'
'-x,-y,-z'
'-x,-y,z'
'x,y,-z'
'x,-y,-z'
'-x,y,z'
'-x,y,-z'
'x,-y,z'
loop_
_atom_site_label
_atom_site_fract_x
_atom_site_fract_y
_atom_site_fract_z
La1 0.0000 0.0000 0.2346
Mg1 0.5000 0.5000 0.5000
Cd1 0.5000 0.5000 0.0000
# DOS(E_F): 0.870 states/eV per atom
# Spin magnetization: 0.0 μB per formula unit
# ΔE_f: -0.189 eV/atom
# Crystal system: orthorhombic

***

# 4
# PBEsol KNaIn2, optimized geometry
data_KNaIn2
_symmetry_space_group_name_H-M 'F m -3 m'
_symmetry_Int_Tables_number 225
_symmetry_space_group_name_Hall '-F 4 2 3'
_cell_length_a 7.8318
_cell_length_b 7.8318
_cell_length_c 7.8318
_cell_angle_alpha 90.00
_cell_angle_beta 90.00
_cell_angle_gamma 90.00
loop_
_atom_site_label
_atom_site_fract_x
_atom_site_fract_y
_atom_site_fract_z
K1 0.0000 0.0000 0.0000
Na1 0.0000 0.0000 0.5000
In1 0.2500 0.2500 0.2500
# DOS(E_F): 0.717 states/eV per atom
# Spin magnetization: 0.0 μB per formula unit
# ΔE_f: 0.062 eV/atom
# Crystal system: cubic

***

# 5
# PBEsol LiHf2ZnGe, optimized geometry
data_LiHf2ZnGe
_symmetry_space_group_name_H-M 'P 4/m m m'
_symmetry_Int_Tables_number 123
_symmetry_space_group_name_Hall '-P 4 2'
_cell_length_a 4.8562
_cell_length_b 4.8562
_cell_length_c 4.2070
_cell_angle_alpha 90.00
_cell_angle_beta 90.00
_cell_angle_gamma 90.00
loop_
_atom_site_label
_atom_site_fract_x
_atom_site_fract_y
_atom_site_fract_z
Li1 0.0000 0.0000 0.0000
Hf1 0.0000 0.5000 0.5000
Zn1 0.0000 0.0000 0.5000
Ge1 0.5000 0.5000 0.0000
# DOS(E_F): 0.453 states/eV per atom
# Spin magnetization: 0.0 μB per formula unit
# ΔE_f: 0.437 eV/atom
# Crystal system: tetragonal

***

# 6
# PBEsol UPbSe2O8, optimized geometry
data_UPbSe2O8
_symmetry_space_group_name_H-M 'P m c 21'
_symmetry_Int_Tables_number 26
_cell_length_a 11.8799
_cell_length_b 5.8528
_cell_length_c 11.3302
_cell_angle_alpha 90.00
_cell_angle_beta 90.00
_cell_angle_gamma 90.00
loop_
_symmetry_equiv_pos_as_xyz
'x,y,z'
'-x,-y,z+1/2'
'-x,y,z'
'x,-y,z+1/2'
loop_
_atom_site_label
_atom_site_fract_x
_atom_site_fract_y
_atom_site_fract_z
U1 0.2481 0.0069 0.0000
Pb1 0.0000 0.4910 0.0509
Pb2 0.5000 0.0660 0.2561
Se1 0.0000 0.1486 0.3013
Se2 0.2684 0.3672 0.7217
Se3 0.5000 0.4059 0.9877
O1 0.0000 0.4233 0.2563
O2 0.1088 0.1611 0.4035
O3 0.1502 0.1816 0.0890
O4 0.1641 0.2985 0.6212
O5 0.2216 0.2553 0.8523
O6 0.3491 0.1585 0.4100
O7 0.3536 0.1513 0.6646
O8 0.3882 0.2603 0.0534
O9 0.5000 0.3114 0.8465
# DOS(E_F): 0.000 states/eV per atom
# Spin magnetization: 0.0 μB per formula unit
# Total energy: -7.13 eV per atom
# Crystal system: orthorhombic

***

# 7
# PBEsol La2YTl, optimized geometry
data_La2YTl
_symmetry_space_group_name_H-M 'C m m m'
_symmetry_Int_Tables_number 65
_symmetry_space_group_name_Hall '-C 2 2'
_cell_length_a 6.7578
_cell_length_b 9.9886
_cell_length_c 3.5497
_cell_angle_alpha 90.00
_cell_angle_beta 90.00
_cell_angle_gamma 90.00
loop_
_atom_site_label
_atom_site_fract_x
_atom_site_fract_y
_atom_site_fract_z
La1 0.2500 0.2500 0.0000
Y1 0.0000 0.0000 0.5000
Tl1 0.0000 0.5000 0.5000
# DOS(E_F): 1.497 states/eV per atom
# Spin magnetization: 0.0 μB per formula unit
# Relative energy among the computed polymorphs: 0.075 eV per atom
# ΔE_f: -0.179 eV/atom
# Crystal system: orthorhombic

***

# 8
# PBEsol CdCoW3, optimized geometry
data_CdCoW3
_symmetry_space_group_name_H-M 'P m -3 m'
_symmetry_Int_Tables_number 221
_symmetry_space_group_name_Hall '-P 4 2 3'
_cell_length_a 4.7396
_cell_length_b 4.7396
_cell_length_c 4.7396
_cell_angle_alpha 90.00
_cell_angle_beta 90.00
_cell_angle_gamma 90.00
loop_
_atom_site_label
_atom_site_fract_x
_atom_site_fract_y
_atom_site_fract_z
Cd1 0.0000 0.0000 0.0000
Co1 0.5000 0.5000 0.5000
W1 0.0000 0.0000 0.5000
# DOS(E_F): 1.189 states/eV per atom
# Spin magnetization: 1.5 μB per formula unit
# ΔE_f: 3.476 eV/atom
# Crystal system: cubic

***

# 9
# PBEsol KCo3, optimized geometry
data_KCo3
_symmetry_space_group_name_H-M 'P 4/m m m'
_symmetry_Int_Tables_number 123
_symmetry_space_group_name_Hall '-P 4 2'
_cell_length_a 2.8912
_cell_length_b 2.8912
_cell_length_c 7.6289
_cell_angle_alpha 90.00
_cell_angle_beta 90.00
_cell_angle_gamma 90.00
loop_
_atom_site_label
_atom_site_fract_x
_atom_site_fract_y
_atom_site_fract_z
K1 0.0000 0.0000 0.0000
Co1 0.0000 0.0000 0.5000
Co2 0.5000 0.5000 0.3454
# DOS(E_F): 0.868 states/eV per atom
# Spin magnetization: 4.8 μB per formula unit
# Relative energy among the computed polymorphs: 0.013 eV per atom
# ΔE_f: 0.726 eV/atom
# Crystal system: tetragonal

***

# 10
# PBEsol MgTiGaGe2, optimized geometry
data_MgTiGaGe2
_symmetry_space_group_name_H-M 'P 4/m m m'
_symmetry_Int_Tables_number 123
_symmetry_space_group_name_Hall '-P 4 2'
_cell_length_a 4.8152
_cell_length_b 4.8152
_cell_length_c 4.8227
_cell_angle_alpha 90.00
_cell_angle_beta 90.00
_cell_angle_gamma 90.00
loop_
_atom_site_label
_atom_site_fract_x
_atom_site_fract_y
_atom_site_fract_z
Mg1 0.0000 0.0000 0.0000
Ti1 0.5000 0.5000 0.5000
Ga1 0.0000 0.0000 0.5000
Ge1 0.0000 0.5000 0.0000
# DOS(E_F): 1.474 states/eV per atom
# Spin magnetization: 1.7 μB per formula unit
# ΔE_f: 0.886 eV/atom
# Crystal system: tetragonal

***

# 11
# PBEsol ZrScCu2, optimized geometry
data_ZrScCu2
_symmetry_space_group_name_H-M 'P 1 m 1'
_symmetry_Int_Tables_number 6
_cell_length_a 3.2432
_cell_length_b 4.2746
_cell_length_c 4.9158
_cell_angle_alpha 90.00
_cell_angle_beta 98.41
_cell_angle_gamma 90.00
loop_
_symmetry_equiv_pos_as_xyz
'x,y,z'
'x,-y,z'
loop_
_atom_site_label
_atom_site_fract_x
_atom_site_fract_y
_atom_site_fract_z
Zr1 0.0000 0.0000 0.0000
Sc1 0.1827 0.5000 0.5627
Cu1 0.5589 0.5000 0.1201
Cu2 0.6360 0.0000 0.4426
# DOS(E_F): 0.682 states/eV per atom
# Spin magnetization: 0.0 μB per formula unit
# Relative energy among the computed polymorphs: 0.000 eV per atom
# ΔE_f: -0.179 eV/atom
# Crystal system: monoclinic

***

# 12
# PBEsol CuReNi, optimized geometry
data_CuReNi
_symmetry_space_group_name_H-M 'F -4 3 m'
_symmetry_Int_Tables_number 216
_symmetry_space_group_name_Hall 'F -4 2 3'
_cell_length_a 5.4455
_cell_length_b 5.4455
_cell_length_c 5.4455
_cell_angle_alpha 90.00
_cell_angle_beta 90.00
_cell_angle_gamma 90.00
loop_
_atom_site_label
_atom_site_fract_x
_atom_site_fract_y
_atom_site_fract_z
Cu1 0.0000 0.0000 0.0000
Re1 0.0000 0.0000 0.5000
Ni1 0.2500 0.2500 0.7500
# DOS(E_F): 0.095 states/eV per atom
# Spin magnetization: 0.0 μB per formula unit
# ΔE_f: 0.589 eV/atom
# Crystal system: cubic